{
  "formula": "AcCe2Tl2Cd2",
  "functional": "PBE",
  "state": "relaxed",
  "sg": "R-3m (166)",
  "e_form_mev_per_atom": -174,
  "lattice": [[2.464, 1.422, 9.635], [-2.464, 1.422, 9.635], [0.000, -2.845, 9.635]],
  "species": ["Ac", "Ce", "Ce", "Tl", "Tl", "Cd", "Cd"],
  "fractional_positions": [[0.000, 0.000, 0.000], [0.148, 0.148, 0.148], [0.852, 0.852, 0.852], [0.266, 0.266, 0.266], [0.734, 0.734, 0.734], [0.430, 0.430, 0.430], [0.570, 0.570, 0.570]]
}